{
  "formula": "NbTcAgO6",
  "functional": "PBE",
  "state": "optimized geometry",
  "volume_a3_per_atom": 13.2,
  "space_group": "P-31c",
  "formation_energy_uncorrected_mev_per_atom": -1487,
  "lattice": [[5.2745, 0.0000, 0.0000], [-2.6373, 4.5679, 0.0000], [0.0000, 0.0000, 9.8825]],
  "species": ["Ag", "O", "O", "O", "O", "Tc", "O", "Nb", "O", "Tc", "O", "O", "O", "Ag", "Nb", "O", "O", "O"],
  "frac_coords": [[0.0000, 0.0000, 0.5000], [0.0100, 0.6314, 0.3594], [0.3786, 0.0100, 0.6406], [0.0100, 0.3786, 0.1406], [0.6214, 0.9900, 0.3594], [0.6667, 0.3333, 0.7500], [0.6314, 0.6214, 0.6406], [0.3333, 0.6667, 0.7500], [0.3686, 0.3786, 0.3594], [0.3333, 0.6667, 0.2500], [0.9900, 0.3686, 0.6406], [0.6314, 0.0100, 0.8594], [0.3786, 0.3686, 0.8594], [0.0000, 0.0000, 0.0000], [0.6667, 0.3333, 0.2500], [0.3686, 0.9900, 0.1406], [0.9900, 0.6214, 0.8594], [0.6214, 0.6314, 0.1406]]
}